MgTcTeO: relaxed, PBE.

Results
density of states at the Fermi level = 0.246 states/eV/atom
energy = -5.9864 eV/atom
excess energy over the best structure of this formula in the dataset = 17 meV/atom
formation energy from raw total energies = -0.971 eV/atom

Unit cell a=5.8904 b=3.4056 c=7.5684 alpha=90.00 beta=105.46 gamma=90.00
Space group Cm (No. 8)
Unique sites:
Mg1 0.0000 0.0000 0.0000 x2
Tc1 0.2704 0.5000 0.3037 x2
Te1 0.1838 0.0000 0.5354 x2
O1 0.1673 0.5000 0.0022 x2

---

MgTcTeO: relaxed, PBE.

Results
density of states at the Fermi level = 0.518 states/eV/atom
energy = -5.9991 eV/atom
excess energy over the best structure of this formula in the dataset = 4 meV/atom
formation energy from raw total energies = -0.984 eV/atom

Unit cell a=3.4139 b=3.4139 c=21.3666 alpha=90.00 beta=90.00 gamma=120.00
Space group R3m (No. 160, hexagonal axes)
Unique sites:
Mg1 0.0000 0.0000 0.0000 x3
Tc1 0.0000 0.0000 0.4404 x3
Te1 0.0000 0.0000 0.8521 x3
O1 0.0000 0.0000 0.3386 x3

---

MgTcTeO: relaxed, PBE.

Results
density of states at the Fermi level = 0.535 states/eV/atom
energy = -5.4932 eV/atom
excess energy over the best structure of this formula in the dataset = 510 meV/atom
formation energy from raw total energies = -0.478 eV/atom

Unit cell a=3.3054 b=4.7831 c=5.3046 alpha=113.55 beta=90.23 gamma=109.94
Space group P1 (No. 1)
Unique sites:
Mg1 0.0000 0.0000 0.0000 x1
Tc1 0.8513 0.7024 0.4046 x1
Te1 0.6054 0.2145 0.5709 x1
O1 0.2449 0.4913 0.1517 x1

---

MgTcTeO: relaxed, PBE.

Results
density of states at the Fermi level = 0.585 states/eV/atom
energy = -5.4451 eV/atom
excess energy over the best structure of this formula in the dataset = 559 meV/atom
formation energy from raw total energies = -0.430 eV/atom

Unit cell a=7.7536 b=4.4869 c=6.0873 alpha=90.00 beta=115.14 gamma=90.00
Space group Cm (No. 8)
Unique sites:
Mg1 0.0000 0.0000 0.0000 x2
Tc1 0.2762 0.5000 0.3261 x2
Te1 0.4107 0.0000 0.2307 x2
O1 0.3867 0.5000 0.6556 x2

---

MgTcTeO: relaxed, PBE.

Results
density of states at the Fermi level = 0.938 states/eV/atom
energy = -5.8721 eV/atom
excess energy over the best structure of this formula in the dataset = 131 meV/atom
formation energy from raw total energies = -0.857 eV/atom

Unit cell a=3.0925 b=3.0925 c=6.9567 alpha=90.00 beta=90.00 gamma=90.00
Space group P4mm (No. 99)
Unique sites:
Mg1 0.0000 0.0000 0.0000 x1
Tc1 0.5000 0.5000 0.3192 x1
Te1 0.0000 0.0000 0.5391 x1
O1 0.5000 0.5000 0.0019 x1

---

MgTcTeO: relaxed, PBE.

Results
density of states at the Fermi level = 0.803 states/eV/atom
energy = -5.3729 eV/atom
excess energy over the best structure of this formula in the dataset = 631 meV/atom
formation energy from raw total energies = -0.358 eV/atom

Unit cell a=4.1250 b=5.4567 c=5.4658 alpha=60.52 beta=68.44 gamma=68.44
Space group P1 (No. 1)
Unique sites:
Mg1 0.0000 0.0000 0.0000 x1
Tc1 0.2316 0.1867 0.3402 x1
Te1 0.7458 0.8935 0.6034 x1
O1 0.1410 0.5657 0.1469 x1

---

MgTcTeO: relaxed, PBE.

Results
density of states at the Fermi level = 0.420 states/eV/atom
energy = -5.5540 eV/atom
excess energy over the best structure of this formula in the dataset = 450 meV/atom
formation energy from raw total energies = -0.539 eV/atom

Unit cell a=4.9967 b=3.2738 c=5.8587 alpha=90.00 beta=97.46 gamma=90.00
Space group Pm (No. 6)
Unique sites:
Mg1 0.0000 0.0000 0.0000 x1
Tc1 0.5757 0.5000 0.1737 x1
Te1 0.7719 0.0000 0.4897 x1
O1 0.2304 0.5000 0.9993 x1

---

Mg2TiTcO6: relaxed, PBE.

Results
density of states at the Fermi level = 0.266 states/eV/atom
energy = -7.2283 eV/atom
formation energy from raw total energies = -2.108 eV/atom

Unit cell a=5.6646 b=5.6646 c=3.8874 alpha=90.00 beta=90.00 gamma=90.00
Space group P4mm (No. 99)
Unique sites:
Mg1 0.0000 0.5000 0.0000 x2
Ti1 0.0000 0.0000 0.7772 x1
Tc1 0.5000 0.5000 0.8278 x1
O1 0.0000 0.0000 0.3287 x1
O2 0.2462 0.2462 0.8573 x4
O3 0.5000 0.5000 0.3350 x1

---

Mg2ZnTcO: relaxed, PBE.

Results
density of states at the Fermi level = 0.874 states/eV/atom
energy = -4.3397 eV/atom
formation energy from raw total energies = -0.382 eV/atom

Unit cell a=3.9557 b=3.9557 c=4.7271 alpha=90.00 beta=90.00 gamma=90.00
Space group P4/mmm (No. 123)
Unique sites:
Mg1 0.0000 0.5000 0.0000 x2
Zn1 0.0000 0.0000 0.5000 x1
Tc1 0.5000 0.5000 0.5000 x1
O1 0.0000 0.0000 0.0000 x1

---

MgZrTcO6: relaxed, PBE.

Results
density of states at the Fermi level = 0.207 states/eV/atom
energy = -7.8065 eV/atom
formation energy from raw total energies = -2.222 eV/atom

Unit cell a=4.7742 b=4.7742 c=9.4340 alpha=90.00 beta=90.00 gamma=90.00
Space group P4_2nm (No. 102)
Unique sites:
Mg1 0.0000 0.0000 0.0000 x2
Zr1 0.0000 0.0000 0.6589 x2
Tc1 0.0000 0.0000 0.3308 x2
O1 0.1925 0.1925 0.1771 x4
O2 0.1945 0.1945 0.4872 x4
O3 0.2191 0.2191 0.8305 x4

---

Mg3TeO: relaxed, PBE.

Results
density of states at the Fermi level = 0.341 states/eV/atom
energy = -3.5105 eV/atom
excess energy over the best structure of this formula in the dataset = 0 meV/atom
formation energy from raw total energies = -0.934 eV/atom

Unit cell a=4.5451 b=4.5451 c=4.5451 alpha=90.00 beta=90.00 gamma=90.00
Space group Pm-3m (No. 221)
Unique sites:
Mg1 0.0000 0.0000 0.5000 x3
Te1 0.5000 0.5000 0.5000 x1
O1 0.0000 0.0000 0.0000 x1

---

MgTe3O: relaxed, PBE.

Results
density of states at the Fermi level = 0.436 states/eV/atom
energy = -3.2467 eV/atom
excess energy over the best structure of this formula in the dataset = 0 meV/atom
formation energy from raw total energies = -0.051 eV/atom

Unit cell a=4.8599 b=4.8599 c=4.8599 alpha=90.00 beta=90.00 gamma=90.00
Space group Pm-3m (No. 221)
Unique sites:
Mg1 0.0000 0.0000 0.0000 x1
Te1 0.0000 0.5000 0.5000 x3
O1 0.5000 0.5000 0.5000 x1

---

Question: Number 11 is which compound?
Answer: Mg3TeO

---

Question: Among the records above, which one has the lowest density of states at the Fermi level?
Answer: MgZrTcO6